--- P ---
The following is a PBE-GGA calculation of CdAgBr2 after structural relaxation, from Alexandria via LeMat-Bulk.

Cell lengths 4.301, 4.299, 5.917 Å; angles 90.00, 90.11, 90.00 degrees
Space group P2/m (No. 10)
Unique sites:
Cd (0.000, 0.000, 0.000) (multiplicity 1)
Ag (0.500, 0.500, 0.500) (multiplicity 1)
Br (0.000, 0.000, 0.500) (multiplicity 1)
Br (0.500, 0.500, 0.000) (multiplicity 1)


--- Q ---
The following is a PBE-GGA calculation of CdAgBr2 after structural relaxation, from Alexandria via LeMat-Bulk.

Cell lengths 9.019, 7.046, 4.100 Å; angles 90.00, 116.96, 90.00 degrees
Space group C2/m (No. 12)
Unique sites:
Cd (0.000, 0.000, 0.000) (multiplicity 2)
Ag (0.000, 0.500, 0.500) (multiplicity 2)
Br (0.233, 0.500, 0.233) (multiplicity 4)


Name the least stable of them. Q.